Entry 1:
Computed, not measured: KTl3O after structural relaxation at the GGA-PBE level of DFT.

Structure (CIF):
```
data_KTl3O
_cell_length_a 6.2495
_cell_length_b 6.2495
_cell_length_c 6.2495
_cell_angle_alpha 90.00
_cell_angle_beta 90.00
_cell_angle_gamma 90.00
_symmetry_space_group_name_H-M 'P m -3 m'
_symmetry_Int_Tables_number 221
_symmetry_space_group_name_Hall '-P 4 2 3'
loop_
_atom_site_label
_atom_site_fract_x
_atom_site_fract_y
_atom_site_fract_z
K1 0.0000 0.0000 0.0000
Tl1 0.0000 0.0000 0.5000
O1 0.5000 0.5000 0.5000
```

Summary:
* final energy: -1.65 eV/atom
* ΔE_f (raw): 985 meV per atom
* energy relative to the lowest polymorph listed for this composition: 1178 meV per atom

Entry 2:
Computed, not measured: K6Tl2O after structural relaxation at the GGA-PBE level of DFT.

Structure (CIF):
```
data_K6Tl2O
_cell_length_a 9.3703
_cell_length_b 4.0592
_cell_length_c 9.9966
_cell_angle_alpha 90.00
_cell_angle_beta 91.10
_cell_angle_gamma 90.00
_symmetry_space_group_name_H-M 'P 1 2/m 1'
_symmetry_Int_Tables_number 10
_symmetry_space_group_name_Hall '-P 2y'
loop_
_atom_site_label
_atom_site_fract_x
_atom_site_fract_y
_atom_site_fract_z
K1 0.0235 0.0000 0.1716
K2 0.2759 0.5000 0.5132
K3 0.2797 0.5000 0.9804
Tl1 0.4784 0.0000 0.2604
O1 0.0000 0.5000 0.0000
```

Summary:
* final energy: -2.16 eV/atom
* ΔE_f (raw): -351 meV per atom

Entry 3:
Computed, not measured: K3TlO after structural relaxation at the GGA-PBE level of DFT.

Structure (CIF):
```
data_K3TlO
_cell_length_a 5.4979
_cell_length_b 5.4979
_cell_length_c 5.4979
_cell_angle_alpha 90.00
_cell_angle_beta 90.00
_cell_angle_gamma 90.00
_symmetry_space_group_name_H-M 'P m -3 m'
_symmetry_Int_Tables_number 221
_symmetry_space_group_name_Hall '-P 4 2 3'
loop_
_atom_site_label
_atom_site_fract_x
_atom_site_fract_y
_atom_site_fract_z
K1 0.0000 0.0000 0.5000
Tl1 0.5000 0.5000 0.5000
O1 0.0000 0.0000 0.0000
```

Summary:
* final energy: -2.61 eV/atom
* ΔE_f (raw): -482 meV per atom
* energy relative to the lowest polymorph listed for this composition: 121 meV per atom